Model i:
# La5Tc, single point on PBEsol structure, DFT SCAN
data_La5Tc
_cell_length_a 4.243
_cell_length_b 14.280
_cell_length_c 5.875
_cell_angle_alpha 90.00
_cell_angle_beta 90.00
_cell_angle_gamma 90.00
_symmetry_space_group_name_H-M 'C m m m'
_symmetry_Int_Tables_number 65
_symmetry_space_group_name_Hall '-C 2 2'
loop_
_atom_site_label
_atom_site_type_symbol
_atom_site_fract_x
_atom_site_fract_y
_atom_site_fract_z
La1 La 0.000 0.000 0.000
La2 La 0.000 0.129 0.500
La3 La 0.000 0.359 0.000
Tc1 Tc 0.000 0.500 0.500
# Calculated volume: 356 Å³/cell

=====

Model ii:
# La5Tc, single point on PBEsol structure, DFT SCAN
data_La5Tc
_cell_length_a 12.032
_cell_length_b 3.795
_cell_length_c 8.123
_cell_angle_alpha 90.00
_cell_angle_beta 107.34
_cell_angle_gamma 90.00
_symmetry_space_group_name_H-M 'C 1 2/m 1'
_symmetry_Int_Tables_number 12
_symmetry_space_group_name_Hall '-C 2y'
loop_
_atom_site_label
_atom_site_type_symbol
_atom_site_fract_x
_atom_site_fract_y
_atom_site_fract_z
La1 La 0.000 0.000 0.000
La2 La 0.124 0.500 0.382
La3 La 0.177 0.500 0.820
Tc1 Tc 0.000 0.000 0.500
# Calculated volume: 354 Å³/cell

=====

Model iii:
# La5Tc, single point on PBEsol structure, DFT SCAN
data_La5Tc
_cell_length_a 3.518
_cell_length_b 3.518
_cell_length_c 14.463
_cell_angle_alpha 90.00
_cell_angle_beta 90.00
_cell_angle_gamma 90.00
_symmetry_space_group_name_H-M 'P 4/m m m'
_symmetry_Int_Tables_number 123
_symmetry_space_group_name_Hall '-P 4 2'
loop_
_atom_site_label
_atom_site_type_symbol
_atom_site_fract_x
_atom_site_fract_y
_atom_site_fract_z
La1 La 0.000 0.000 0.000
La2 La 0.000 0.000 0.382
La3 La 0.500 0.500 0.172
Tc1 Tc 0.500 0.500 0.500
# Calculated volume: 179 Å³/cell

=====

model ii comes first in stability; the runner-up is 11 meV per atom higher.

=====

Model i:
# La2TcTe, single point on PBEsol structure, DFT SCAN
data_La2TcTe
_cell_length_a 7.460
_cell_length_b 7.460
_cell_length_c 7.460
_cell_angle_alpha 90.00
_cell_angle_beta 90.00
_cell_angle_gamma 90.00
_symmetry_space_group_name_H-M 'F m -3 m'
_symmetry_Int_Tables_number 225
_symmetry_space_group_name_Hall '-F 4 2 3'
loop_
_atom_site_label
_atom_site_type_symbol
_atom_site_fract_x
_atom_site_fract_y
_atom_site_fract_z
La1 La 0.250 0.250 0.250
Tc1 Tc 0.000 0.000 0.000
Te1 Te 0.000 0.000 0.500
# Calculated volume: 415 Å³/cell

=====

Model ii:
# La2TcTe, single point on PBEsol structure, DFT SCAN
data_La2TcTe
_cell_length_a 4.590
_cell_length_b 5.584
_cell_length_c 8.126
_cell_angle_alpha 90.00
_cell_angle_beta 90.00
_cell_angle_gamma 90.00
_symmetry_space_group_name_H-M 'C m m m'
_symmetry_Int_Tables_number 65
_symmetry_space_group_name_Hall '-C 2 2'
loop_
_atom_site_label
_atom_site_type_symbol
_atom_site_fract_x
_atom_site_fract_y
_atom_site_fract_z
La1 La 0.000 0.000 0.216
Tc1 Tc 0.000 0.500 0.000
Te1 Te 0.000 0.500 0.500
# Calculated volume: 208 Å³/cell

=====

model ii comes first in stability; the runner-up is 174 meV per atom higher.

=====

Model i:
# LaTl2Tc, single point on PBEsol structure, DFT SCAN
data_LaTl2Tc
_cell_length_a 3.855
_cell_length_b 4.751
_cell_length_c 5.054
_cell_angle_alpha 90.00
_cell_angle_beta 90.00
_cell_angle_gamma 90.00
_symmetry_space_group_name_H-M 'P m m m'
_symmetry_Int_Tables_number 47
_symmetry_space_group_name_Hall '-P 2 2'
loop_
_atom_site_label
_atom_site_type_symbol
_atom_site_fract_x
_atom_site_fract_y
_atom_site_fract_z
La1 La 0.000 0.000 0.000
Tl1 Tl 0.000 0.500 0.500
Tl2 Tl 0.500 0.000 0.500
Tc1 Tc 0.500 0.500 0.000
# Calculated volume: 93 Å³/cell

=====

Model ii:
# LaTl2Tc, single point on PBEsol structure, DFT SCAN
data_LaTl2Tc
_cell_length_a 3.496
_cell_length_b 4.480
_cell_length_c 12.629
_cell_angle_alpha 90.00
_cell_angle_beta 90.00
_cell_angle_gamma 90.00
_symmetry_space_group_name_H-M 'A m m 2'
_symmetry_Int_Tables_number 38
_symmetry_space_group_name_Hall 'A 2 -2'
loop_
_atom_site_label
_atom_site_type_symbol
_atom_site_fract_x
_atom_site_fract_y
_atom_site_fract_z
La1 La 0.000 0.000 0.000
Tl1 Tl 0.000 0.000 0.292
Tl2 Tl 0.500 0.000 0.684
Tc1 Tc 0.500 0.000 0.468
# Calculated volume: 198 Å³/cell

=====

Model iii:
# LaTl2Tc, single point on PBEsol structure, DFT SCAN
data_LaTl2Tc
_cell_length_a 5.846
_cell_length_b 10.100
_cell_length_c 3.239
_cell_angle_alpha 90.00
_cell_angle_beta 104.56
_cell_angle_gamma 90.00
_symmetry_space_group_name_H-M 'C 1 2/m 1'
_symmetry_Int_Tables_number 12
_symmetry_space_group_name_Hall '-C 2y'
loop_
_atom_site_label
_atom_site_type_symbol
_atom_site_fract_x
_atom_site_fract_y
_atom_site_fract_z
La1 La 0.000 0.000 0.000
Tl1 Tl 0.250 0.250 0.500
Tc1 Tc 0.000 0.500 0.000
# Calculated volume: 185 Å³/cell

=====

model ii comes first in stability; the runner-up is 116 meV per atom higher.

=====

Model i:
# LaY2Tc, single point on PBEsol structure, DFT SCAN
data_LaY2Tc
_cell_length_a 3.596
_cell_length_b 5.308
_cell_length_c 11.084
_cell_angle_alpha 90.00
_cell_angle_beta 90.00
_cell_angle_gamma 90.00
_symmetry_space_group_name_H-M 'I m m m'
_symmetry_Int_Tables_number 71
_symmetry_space_group_name_Hall '-I 2 2'
loop_
_atom_site_label
_atom_site_type_symbol
_atom_site_fract_x
_atom_site_fract_y
_atom_site_fract_z
La1 La 0.000 0.000 0.000
Y1 Y 0.000 0.500 0.197
Tc1 Tc 0.000 0.000 0.500
# Calculated volume: 212 Å³/cell

=====

Model ii:
# LaY2Tc, single point on PBEsol structure, DFT SCAN
data_LaY2Tc
_cell_length_a 4.808
_cell_length_b 4.826
_cell_length_c 9.195
_cell_angle_alpha 90.00
_cell_angle_beta 90.00
_cell_angle_gamma 90.00
_symmetry_space_group_name_H-M 'C m m m'
_symmetry_Int_Tables_number 65
_symmetry_space_group_name_Hall '-C 2 2'
loop_
_atom_site_label
_atom_site_type_symbol
_atom_site_fract_x
_atom_site_fract_y
_atom_site_fract_z
La1 La 0.000 0.000 0.000
Y1 Y 0.000 0.500 0.322
Tc1 Tc 0.000 0.000 0.500
# Calculated volume: 213 Å³/cell

=====

model ii comes first in stability; the runner-up is 71 meV per atom higher.

=====

Model i:
# LaYTc, single point on PBEsol structure, DFT SCAN
data_LaYTc
_cell_length_a 6.612
_cell_length_b 6.612
_cell_length_c 6.612
_cell_angle_alpha 90.00
_cell_angle_beta 90.00
_cell_angle_gamma 90.00
_symmetry_space_group_name_H-M 'F -4 3 m'
_symmetry_Int_Tables_number 216
_symmetry_space_group_name_Hall 'F -4 2 3'
loop_
_atom_site_label
_atom_site_type_symbol
_atom_site_fract_x
_atom_site_fract_y
_atom_site_fract_z
La1 La 0.000 0.000 0.000
Y1 Y 0.250 0.250 0.750
Tc1 Tc 0.250 0.250 0.250
# Calculated volume: 289 Å³/cell

=====

Model ii:
# LaYTc, single point on PBEsol structure, DFT SCAN
data_LaYTc
_cell_length_a 4.7172
_cell_length_b 4.7172
_cell_length_c 3.5767
_cell_angle_alpha 90.00
_cell_angle_beta 90.00
_cell_angle_gamma 120.00
_symmetry_space_group_name_H-M 'P 3 m 1'
_symmetry_Int_Tables_number 156
_symmetry_space_group_name_Hall 'P 3 -2"'
loop_
_atom_site_label
_atom_site_type_symbol
_atom_site_fract_x
_atom_site_fract_y
_atom_site_fract_z
La1 La 0.0000 0.0000 0.0000
Y1 Y 0.6667 0.3333 0.5436
Tc1 Tc 0.3333 0.6667 0.2154
# Calculated volume: 69 Å³/cell

=====

model ii comes first in stability; the runner-up is 823 meV per atom higher.